No. 1
Computed, not measured: BaTl3W after structural relaxation at the PBE level of DFT.

Results
ΔH_f (0 K): 2.247 eV per atom
Space-group type: No. 221
Excess energy over the best structure of this formula in the dataset: 1993 meV per atom
E: -2.148 eV/atom

Cell: 6.198 6.198 6.198 Å, 90.00 90.00 90.00°
Each line ends with the local moment (μB).
Fractional coordinates of all 5 atoms:
Tl: 0.000 0.500 0.000  -0.03
Tl: 0.000 0.000 0.500  -0.01
Tl: 0.500 0.000 0.000  -0.07
W: 0.500 0.500 0.500  0.35
Ba: 0.000 0.000 0.000  -0.12

No. 2
Computed, not measured: LiEuYSc after structural relaxation at the PBE level of DFT.

Results
ΔH_f (0 K): 0.212 eV per atom
Space-group type: No. 216
E: -6.034 eV/atom

Cell: 5.487 5.487 5.487 Å, 60.00 60.00 60.00°
Each line ends with the local moment (μB).
Fractional coordinates of all 4 atoms:
Sc: 0.500 0.500 0.500  0.04
Y: 0.750 0.750 0.750  0.00
Eu: 0.250 0.250 0.250  6.81
Li: 0.000 0.000 0.000  0.00

No. 3
Computed, not measured: Pm3Hg2Pt after structural relaxation at the PBE level of DFT.

Results
ΔH_f (0 K): -0.586 eV per atom
Space-group type: No. 15
Excess energy over the best structure of this formula in the dataset: 98 meV per atom
E: -4.069 eV/atom

Cell: 6.078 8.034 8.110 Å, 104.31 112.01 90.00°
Fractional coordinates of all 12 atoms:
Hg: 0.315 0.406 0.629
Hg: 0.314 0.906 0.629
Hg: 0.685 0.594 0.371
Hg: 0.686 0.094 0.371
Pm: 0.501 0.750 0.000
Pm: 0.862 0.431 0.723
Pm: 0.138 0.569 0.277
Pm: 0.139 0.069 0.277
Pm: 0.499 0.250 0.000
Pm: 0.861 0.931 0.723
Pt: 0.001 0.750 0.000
Pt: 0.999 0.250 0.000

No. 4
Computed, not measured: TmVSe2 after structural relaxation at the PBE level of DFT.

Results
Space-group type: No. 166
E: -5.769 eV/atom
ΔE_f (raw): -0.6289 eV/atom

Cell: 3.723 3.723 8.653 Å, 77.58 77.58 60.00°
Each line ends with the local moment (μB).
Fractional coordinates of all 4 atoms:
Tm: 0.000 0.000 0.000  0.06
Se: 0.890 0.890 0.330  -0.07
Se: 0.110 0.110 0.670  -0.07
V: 0.500 0.500 0.500  2.04

No. 5
Computed, not measured: PuTl2Ag after structural relaxation at the PBE level of DFT.

Results
ΔH_f (0 K): 0.072 eV per atom
Space-group type: No. 123
Excess energy over the best structure of this formula in the dataset: 28 meV per atom
E: -5.407 eV/atom

Cell: 4.532 4.794 4.794 Å, 90.00 90.00 90.00°
Each line ends with the local moment (μB).
Fractional coordinates of all 4 atoms:
Tl: 0.000 0.500 0.000  0.06
Tl: 0.000 0.000 0.500  0.06
Pu: 0.500 0.500 0.500  5.55
Ag: 0.500 0.000 0.000  0.04